No. 1
A geometry-optimized MoRh3Br structure, computed with GGA-PBE.

Output
Symmetry: No. 221

Cell lengths 4.7445, 4.7445, 4.7445 Å; angles 90.00, 90.00, 90.00 degrees
Fractional coordinates of all 5 atoms:
Mo 0.0000 0.0000 0.0000
Rh 0.0000 0.0000 0.5000
Rh 0.0000 0.5000 0.0000
Rh 0.5000 0.0000 0.0000
Br 0.5000 0.5000 0.5000


No. 2
A geometry-optimized Mo2RhBr structure, computed with GGA-PBE.

Output
Symmetry: No. 6

Cell lengths 3.0690, 3.0924, 7.6065 Å; angles 90.00, 100.61, 90.00 degrees
Fractional coordinates of all 4 atoms:
Mo 0.0000 0.0000 0.0000
Mo 0.4433 0.5000 0.2241
Rh 0.3778 0.5000 0.7927
Br 0.1616 0.0000 0.4825


No. 3
A geometry-optimized MoRhBr structure, computed with GGA-PBE.

Output
Symmetry: No. 107

Cell lengths 6.2497, 6.2497, 6.2497 Å; angles 152.29, 152.29, 39.59 degrees
Fractional coordinates of all 3 atoms:
Mo 0.0000 0.0000 0.0000
Rh 0.6354 0.6354 0.0000
Br 0.3473 0.3473 0.0000


No. 4
A geometry-optimized MoRhBr3 structure, computed with GGA-PBE.

Output
Symmetry: No. 221

Cell lengths 5.0727, 5.0727, 5.0727 Å; angles 90.00, 90.00, 90.00 degrees
Fractional coordinates of all 5 atoms:
Mo 0.0000 0.0000 0.0000
Rh 0.5000 0.5000 0.5000
Br 0.0000 0.5000 0.5000
Br 0.5000 0.0000 0.5000
Br 0.5000 0.5000 0.0000


No. 5
A geometry-optimized Mo2RhBr structure, computed with GGA-PBE.

Output
Symmetry: No. 10

Cell lengths 3.7510, 2.9663, 7.1796 Å; angles 90.00, 90.06, 90.00 degrees
Fractional coordinates of all 4 atoms:
Mo 0.0005 0.0000 0.1715
Mo 0.9995 0.0000 0.8285
Rh 0.5000 0.5000 0.0000
Br 0.0000 0.5000 0.5000


No. 6
A geometry-optimized Mo2RhBr2 structure, computed with GGA-PBE.

Output
Symmetry: No. 139

Cell lengths 6.4675, 6.4675, 6.4675 Å; angles 142.25, 142.25, 54.45 degrees
Fractional coordinates of all 5 atoms:
Mo 0.0942 0.0942 0.0000
Mo 0.9058 0.9058 0.0000
Rh 0.5000 0.5000 0.0000
Br 0.2500 0.7500 0.5000
Br 0.7500 0.2500 0.5000


no.,DOS at the Fermi energy (states/eV/f.u.),E_form (uncorrected) (eV per atom)
1,6.54,1.22
2,1.83,0.27
3,2.67,0.30
4,4.85,0.67
5,4.81,0.44
6,6.69,0.87